PmDySiRh: optimized geometry, PBE.

Results
For the magnetic moment, the calculation gives 0.00 μB per formula unit. As for the density of states at the Fermi level: 3.16 states/eV per cell. Its final energy is -25.36 eV per formula unit. Its uncorrected formation energy is -0.808 eV/atom. The energy above the lowest structure with this stoichiometry comes out at 0 kJ/mol of formula units.

Structure (POSCAR):
```
PmDySiRh
1.0
-1.435 3.838 -0.986
0.568 -0.804 -3.956
-4.194 -3.836 0.177
Pm Dy Si Rh
1 1 1 1
Direct
0.145 0.000 0.290
0.863 0.500 0.726
0.566 0.500 0.132
0.425 0.000 0.851
```

=====

PmDySnRh: optimized geometry, PBE.

Results
For the magnetic moment, the calculation gives 0.00 μB per formula unit. As for the density of states at the Fermi level: 2.62 states/eV per cell. The value obtained for the energy of formation is -612 meV per atom. Its final energy is -23.15 eV per formula unit.

Structure (POSCAR):
```
PmDySnRh
1.0
-2.919 -0.208 -4.261
-4.418 -2.683 0.023
-4.532 2.482 -0.152
Pm Rh Sn Dy
1 1 1 1
Direct
0.750 0.750 0.750
0.500 0.500 0.500
0.000 0.000 0.000
0.250 0.250 0.250
```

=====

Pm2DySn3Rh4: optimized geometry, PBE.

Results
For the magnetic moment, the calculation gives 0.00 μB per formula unit. As for the density of states at the Fermi level: 7.72 states/eV per cell. The value obtained for the energy of formation is -744 meV per atom. Its final energy is -62.96 eV per formula unit.

Structure (POSCAR):
```
Pm2DySn3Rh4
1.0
-3.588 -1.760 1.838
2.542 -2.307 2.752
-0.357 8.626 7.563
Pm Dy Sn Rh
2 1 3 4
Direct
0.500 0.000 0.231
0.000 0.500 0.769
0.500 0.500 0.500
0.000 0.000 0.500
0.500 0.000 0.873
0.000 0.500 0.127
0.500 0.500 0.000
0.000 0.000 0.000
0.500 0.000 0.647
0.000 0.500 0.353
```

=====

Q: What is the final energy in the third record?
A: -62.96 eV per formula unit

=====

Q: Which value of magnetic moment does entry 1 give?
A: 0.00 μB per formula unit

=====

Q: Look up the magnetic moment of the first one.
A: 0.00 μB per formula unit

=====

Q: Which formula does entry 1 have?
A: PmDySiRh